Entry 1:
A plane-wave DFT calculation with PBEsol was carried out for an optimized crystal structure of Sr2IrRh.

extended XYZ file:
```
4
Lattice="3.3046 0.0000 0.0000 0.0000 4.0258 0.0000 0.0000 0.0000 6.5369" Properties=species:S:1:pos:R:3 pbc="T T T"
Sr 0.0000 0.0000 4.9114
Sr 0.0000 0.0000 1.6255
Rh 1.6523 2.0129 3.2685
Ir 1.6523 2.0129 0.0000
```

Properties
ΔE_f, eV per atom: 0.2219
Distance to the lowest polymorph of the same formula, meV per atom: 361
Theoretical density, g cm⁻³: 8.98
E_tot, eV/cell: -20.76

***

Entry 2:
A plane-wave DFT calculation with PBEsol was carried out for an optimized crystal structure of Sr2IrRh.

extended XYZ file:
```
4
Lattice="-0.6475 4.2198 -0.0764 -2.2954 -0.2872 3.5889 5.4074 -1.3158 0.8133" Properties=species:S:1:pos:R:3 pbc="T T T"
Rh 0.8202 0.1816 3.0792
Sr 1.6442 2.4351 1.2465
Sr 0.0000 0.0000 0.0000
Ir -1.4714 1.9663 1.7562
```

Properties
ΔE_f, eV per atom: 0.3295
Distance to the lowest polymorph of the same formula, meV per atom: 468
Theoretical density, g cm⁻³: 9.03
E_tot, eV/cell: -20.32

***

Entry 3:
A plane-wave DFT calculation with PBEsol was carried out for an optimized crystal structure of Sr2IrRh.

extended XYZ file:
```
4
Lattice="4.9220 0.0000 0.0000 2.4610 4.2625 0.0000 2.4610 1.4208 4.0188" Properties=species:S:1:pos:R:3 pbc="T T T"
Rh 2.4610 1.4208 1.0047
Sr 0.0000 0.0000 0.0000
Sr 7.3829 4.2625 3.0141
Ir 4.9220 2.8417 2.0094
```

Properties
ΔE_f, eV per atom: 0.3702
Distance to the lowest polymorph of the same formula, meV per atom: 509
Theoretical density, g cm⁻³: 9.26
E_tot, eV/cell: -20.16

***

Entry 4:
A plane-wave DFT calculation with PBEsol was carried out for an optimized crystal structure of Sr2IrRh.

extended XYZ file:
```
4
Lattice="-1.5279 -3.6184 2.1880 1.8189 -2.7688 -3.3087 3.4624 1.1236 4.2759" Properties=species:S:1:pos:R:3 pbc="T T T"
Sr 2.6994 -2.0158 3.1708
Sr 0.9033 -0.0539 0.5417
Ir 3.4514 -1.5360 -0.1301
Rh 1.9948 -3.3039 0.5486
```

Properties
ΔE_f, eV per atom: -0.1389
Distance to the lowest polymorph of the same formula, meV per atom: 0
Theoretical density, g cm⁻³: 7.27
E_tot, eV/cell: -22.20

***

Entry 5:
A plane-wave DFT calculation with PBEsol was carried out for an optimized crystal structure of Ta2IrRh.

extended XYZ file:
```
4
Lattice="-0.9799 -2.4440 1.9742 -1.1860 -1.6272 -2.6031 5.2013 -2.6576 -0.7085" Properties=species:S:1:pos:R:3 pbc="T T T"
Ta 5.0536 -2.5822 -0.6884
Ta 0.3487 -2.7671 -0.5095
Ir 2.5173 -1.2863 -0.3429
Rh 2.9176 -4.0797 -0.8594
```

Properties
ΔE_f, eV per atom: -0.3812
Theoretical density, g cm⁻³: 17.12
E_tot, eV/cell: -44.59

***

Entry 6:
A plane-wave DFT calculation with PBEsol was carried out for an optimized crystal structure of TaIrRh.

extended XYZ file:
```
3
Lattice="4.2383 0.0000 0.0000 2.1191 3.6705 0.0000 2.1191 1.2235 3.4605" Properties=species:S:1:pos:R:3 pbc="T T T"
Rh 0.0000 0.0000 0.0000
Ir 2.1191 1.2235 0.8651
Ta 4.2383 2.4470 1.7303
```

Properties
ΔE_f, eV per atom: 0.2105
Theoretical density, g cm⁻³: 14.68
E_tot, eV/cell: -29.88

***

Entry 7:
A plane-wave DFT calculation with PBEsol was carried out for an optimized crystal structure of TaIrRh2.

extended XYZ file:
```
4
Lattice="4.3716 0.0000 0.0000 2.1858 3.7859 0.0000 2.1858 1.2620 3.5694" Properties=species:S:1:pos:R:3 pbc="T T T"
Ta 4.3716 2.5239 1.7847
Ir 0.0000 0.0000 0.0000
Rh 2.1858 1.2620 0.8923
Rh 6.5574 3.7859 2.6770
```

Properties
ΔE_f, eV per atom: -0.0875
Distance to the lowest polymorph of the same formula, meV per atom: 563
Theoretical density, g cm⁻³: 16.27
E_tot, eV/cell: -39.00

***

Entry 8:
A plane-wave DFT calculation with PBEsol was carried out for an optimized crystal structure of TaIrRh2.

extended XYZ file:
```
4
Lattice="-0.0533 2.1029 1.8014 -3.5974 0.7592 -0.9927 -1.8040 -3.4113 3.9289" Properties=species:S:1:pos:R:3 pbc="T T T"
Rh -2.2612 0.6070 1.3535
Rh -0.0011 -0.0021 0.0024
Ta -0.8992 -1.7003 1.9583
Ir -3.1953 -1.1594 3.3879
```

Properties
ΔE_f, eV per atom: -0.3821
Distance to the lowest polymorph of the same formula, meV per atom: 268
Theoretical density, g cm⁻³: 16.55
E_tot, eV/cell: -40.18

***

Entry 9:
A plane-wave DFT calculation with PBEsol was carried out for an optimized crystal structure of TaIr2Rh.

extended XYZ file:
```
4
Lattice="-1.2169 1.6410 -1.9178 1.0824 -3.1106 -3.3484 -4.2210 -1.0820 1.7527" Properties=species:S:1:pos:R:3 pbc="T T T"
Rh -0.6085 0.8205 -0.9589
Ta -2.1778 -1.2758 -1.7568
Ir 0.5412 -1.5553 -1.6742
Ir -2.1105 -0.5410 0.8763
```

Properties
ΔE_f, eV per atom: -0.4158
Distance to the lowest polymorph of the same formula, meV per atom: 260
Theoretical density, g cm⁻³: 18.95
E_tot, eV/cell: -42.00

***

Entry 10:
A plane-wave DFT calculation with PBEsol was carried out for an optimized crystal structure of TaIrRh2.

extended XYZ file:
```
4
Lattice="3.8492 0.0000 0.0000 0.0000 3.8492 0.0000 0.0000 0.0000 3.8719" Properties=species:S:1:pos:R:3 pbc="T T T"
Rh 1.9246 0.0000 0.0000
Rh 0.0000 1.9246 0.0000
Ir 0.0000 0.0000 1.9360
Ta 1.9246 1.9246 1.9360
```

Properties
ΔE_f, eV per atom: -0.6502
Distance to the lowest polymorph of the same formula, meV per atom: 0
Theoretical density, g cm⁻³: 16.76
E_tot, eV/cell: -41.25

***

Entry 11:
A plane-wave DFT calculation with PBEsol was carried out for an optimized crystal structure of TaIr2Rh.

extended XYZ file:
```
4
Lattice="3.8582 0.0000 0.0000 0.0000 3.8757 0.0000 0.0000 0.0000 3.8757" Properties=species:S:1:pos:R:3 pbc="T T T"
Ir 0.0000 0.0000 1.9378
Ir 0.0000 1.9378 0.0000
Rh 1.9291 1.9378 1.9378
Ta 1.9291 0.0000 0.0000
```

Properties
ΔE_f, eV per atom: -0.6762
Distance to the lowest polymorph of the same formula, meV per atom: 0
Theoretical density, g cm⁻³: 19.15
E_tot, eV/cell: -43.04

***

Entry 12:
A plane-wave DFT calculation with PBEsol was carried out for an optimized crystal structure of Ta2IrRh.

extended XYZ file:
```
4
Lattice="-0.0379 -1.4645 2.4040 2.8930 -3.0492 -1.8119 3.7686 2.8388 1.2399" Properties=species:S:1:pos:R:3 pbc="T T T"
Ta 2.5942 -1.7962 1.3837
Ta 3.4934 1.2578 3.4611
Ir 1.6641 0.7381 1.4150
Rh 4.4679 0.1869 1.0381
```

Properties
ΔE_f, eV per atom: -0.5308
Theoretical density, g cm⁻³: 17.44
E_tot, eV/cell: -45.19